NpCoAs2Ru | PBE-GGA | optimized geometry

V ... 17.019 A^3/atom
DOS(E_F) ... 9.65 states/eV per cell
E_tot ... -8.102 eV per atom
Energy of formation from the pure elements ... -0.3777 eV per atom

Geometry as extended XYZ:
```
5
Lattice="-1.977 1.977 5.442 1.977 -1.977 5.442 1.977 1.977 -5.442" Properties=species:S:1:pos:R:3 pbc="T T T"
Np 0.000 0.000 0.000
Co 0.000 1.977 2.721
As 0.000 0.000 4.065
As 0.000 0.000 6.820
Ru 1.977 0.000 2.721
```